*i*
DFT (PBE) results for a relaxed structure of ZrTcP3.

Summary:
For the density of states at the Fermi level, the calculation gives 7.84 states/eV/f.u. The total magnetic moment is 0.0001 μB/atom.

Cell: 4.594 4.594 4.594 Å, 90.00 90.00 90.00°
Fractional coordinates of all 5 atoms:
P 0.000 0.500 0.000
P 0.000 0.000 0.500
P 0.500 0.000 0.000
Tc 0.000 0.000 0.000
Zr 0.500 0.500 0.500

***

*ii*
DFT (PBE) results for a relaxed structure of ZrTcP3.

Summary:
For the density of states at the Fermi level, the calculation gives 10.04 states/eV/f.u. The total magnetic moment is 0.0001 μB/atom.

Cell: 4.877 4.877 4.877 Å, 90.00 90.00 90.00°
Fractional coordinates of all 5 atoms:
P 0.000 0.500 0.000
P 0.000 0.000 0.500
P 0.500 0.000 0.000
Tc 0.500 0.500 0.500
Zr 0.000 0.000 0.000

***

Which one is most stable, and which one is least stable? *i* is the most stable of them, while *ii* is the least stable.